1.
DFT (GGA-PBE) results for crystalline Nd3CoRu at its relaxed geometry.

Lattice parameters (Å, degrees): 14.906 4.081 8.224 90.00 93.97 90.00
Space group C2/m (No. 12)
Unique sites:
Nd 0.055 0.000 0.326 (multiplicity 4)
Nd 0.113 0.500 0.937 (multiplicity 4)
Nd 0.237 0.000 0.681 (multiplicity 4)
Co 0.205 0.000 0.078 (multiplicity 4)
Ru 0.099 0.500 0.562 (multiplicity 4)

Summary:
Formation energy ... -0.411 eV per formula unit
VASP energy ... -6.219 eV/atom
Crystal system ... monoclinic

---

2.
DFT (GGA-PBE) results for crystalline Nd6CoRu at its relaxed geometry.

Lattice parameters (Å, degrees): 6.7264 6.7264 6.1717 90.00 90.00 120.00
Space group P-31m (No. 162)
Unique sites:
Nd 0.0000 0.3471 0.2531 (multiplicity 6)
Co 0.0000 0.0000 0.5000 (multiplicity 1)
Ru 0.0000 0.0000 0.0000 (multiplicity 1)

Summary:
Formation energy ... -0.859 eV per formula unit
VASP energy ... -5.731 eV/atom
Crystal system ... trigonal

---

3.
DFT (GGA-PBE) results for crystalline Nd4CoRu at its relaxed geometry.

Lattice parameters (Å, degrees): 9.283 9.283 8.401 90.00 90.00 90.00
Space group I4_1md (No. 109)
Unique sites:
Nd 0.000 0.300 0.000 (multiplicity 8)
Nd 0.000 0.302 0.493 (multiplicity 8)
Co 0.000 0.000 0.995 (multiplicity 4)
Ru 0.000 0.000 0.499 (multiplicity 4)

Summary:
Formation energy ... -0.417 eV per formula unit
VASP energy ... -5.978 eV/atom
Crystal system ... tetragonal

---

4.
DFT (GGA-PBE) results for crystalline Nd3Co3Ru at its relaxed geometry.

Lattice parameters (Å, degrees): 4.242 10.478 12.785 90.00 90.00 90.00
Space group Cmcm (No. 63)
Unique sites:
Nd 0.000 0.025 0.250 (multiplicity 4)
Nd 0.000 0.268 0.604 (multiplicity 8)
Co 0.000 0.336 0.250 (multiplicity 4)
Co 0.000 0.439 0.087 (multiplicity 8)
Ru 0.000 0.000 0.000 (multiplicity 4)

Summary:
Formation energy ... -0.639 eV per formula unit
VASP energy ... -6.505 eV/atom
Crystal system ... orthorhombic

---

5.
DFT (GGA-PBE) results for crystalline Nd6Co2Ru at its relaxed geometry.

Lattice parameters (Å, degrees): 9.707 9.713 9.827 90.00 90.00 90.00
Space group Immm (No. 71)
Unique sites:
Nd 0.000 0.181 0.172 (multiplicity 8)
Nd 0.174 0.244 0.500 (multiplicity 8)
Nd 0.183 0.500 0.233 (multiplicity 8)
Co 0.000 0.000 0.389 (multiplicity 4)
Co 0.172 0.000 0.000 (multiplicity 4)
Ru 0.000 0.500 0.000 (multiplicity 2)
Ru 0.000 0.500 0.500 (multiplicity 2)

Summary:
Formation energy ... -0.660 eV per formula unit
VASP energy ... -5.862 eV/atom
Crystal system ... orthorhombic

---

6.
DFT (GGA-PBE) results for crystalline NdCo4Ru at its relaxed geometry.

Lattice parameters (Å, degrees): 7.024 7.024 7.024 90.00 90.00 90.00
Space group F-43m (No. 216)
Unique sites:
Nd 0.000 0.000 0.000 (multiplicity 4)
Co 0.125 0.125 0.625 (multiplicity 16)
Ru 0.250 0.250 0.250 (multiplicity 4)

Summary:
Formation energy ... 0.798 eV per formula unit
VASP energy ... -6.945 eV/atom
Crystal system ... cubic

---

7.
DFT (GGA-PBE) results for crystalline NdScCoRu at its relaxed geometry.

Lattice parameters (Å, degrees): 6.662 6.662 6.662 90.00 90.00 90.00
Space group F-43m (No. 216)
Unique sites:
Nd 0.000 0.000 0.000 (multiplicity 4)
Sc 0.000 0.000 0.500 (multiplicity 4)
Co 0.250 0.250 0.750 (multiplicity 4)
Ru 0.250 0.250 0.250 (multiplicity 4)

Summary:
Formation energy ... -0.667 eV per formula unit
VASP energy ... -7.037 eV/atom
Crystal system ... cubic

---

8.
DFT (GGA-PBE) results for crystalline NdSmCoRu at its relaxed geometry.

Lattice parameters (Å, degrees): 4.078 4.258 10.580 90.00 90.00 90.00
Space group Amm2 (No. 38)
Unique sites:
Nd 0.000 0.000 0.000 (multiplicity 2)
Sm 0.500 0.000 0.710 (multiplicity 2)
Co 0.500 0.000 0.409 (multiplicity 2)
Ru 0.000 0.000 0.298 (multiplicity 2)

Summary:
Energy relative to the lowest polymorph listed for this composition ... 0 meV/atom
Formation energy ... -0.526 eV per formula unit
VASP energy ... -6.599 eV/atom
Crystal system ... orthorhombic